An optimized crystal structure of ThGePd6, computed with PBE.

The structure in extended XYZ format:
```
16
Lattice="4.1139 0.0000 0.0000 0.0000 8.2841 0.0000 0.0000 0.0000 8.1138" Properties=species:S:1:pos:R:3 pbc="T T T"
Th 0.0000 0.0000 0.0000
Th 0.0000 4.1421 4.0569
Ge 2.0569 0.0000 5.5805
Ge 2.0569 4.1421 1.5236
Pd 0.0000 0.0000 4.0607
Pd 0.0000 2.0493 6.0814
Pd 0.0000 2.0927 2.0245
Pd 0.0000 4.1421 0.0038
Pd 0.0000 6.1914 2.0245
Pd 0.0000 6.2348 6.0814
Pd 2.0569 0.0000 2.0413
Pd 2.0569 2.0613 4.0024
Pd 2.0569 2.0808 8.0593
Pd 2.0569 4.1421 6.0982
Pd 2.0569 6.2033 8.0593
Pd 2.0569 6.2229 4.0024
```

Computed properties:
- SG = Amm2 (38)
- distance to the lowest polymorph of the same formula (eV per atom) = 0.000
- formation enthalpy at 0 K (eV per formula unit) = -4.6
- spin magnetization (μB per cell) = 0.0